--- 1 ---
Ba3SmRu2O9 | GGA-PBE | optimized geometry

**Total moment**: 2.99 μB/f.u.

abc: 5.9943 5.9943 14.7774
angles: 90.00 90.00 120.00
Space group P6_3/mmc (No. 194)
Asymmetric unit:
Ba  0.0000  0.0000  0.2500 (multiplicity 2)
Ba  0.3333  0.6667  0.0991 (multiplicity 4)
Sm  0.0000  0.0000  0.0000 (multiplicity 2)
Ru  0.3333  0.6667  0.6657 (multiplicity 4)
O  0.0186  0.5093  0.7500 (multiplicity 6)
O  0.1776  0.3553  0.5908 (multiplicity 12)

***

--- 2 ---
Ba3SmRu2O9 | GGA-PBE | optimized geometry

**Total moment**: 5.05 μB/f.u.

abc: 5.9217 5.9217 7.3371
angles: 90.00 90.00 120.00
Space group P-3m1 (No. 164)
Asymmetric unit:
Ba  0.0000  0.0000  0.0000 (multiplicity 1)
Ba  0.3333  0.6667  0.6836 (multiplicity 2)
Sm  0.0000  0.0000  0.5000 (multiplicity 1)
Ru  0.3333  0.6667  0.1601 (multiplicity 2)
O  0.0000  0.5000  0.0000 (multiplicity 3)
O  0.1778  0.3556  0.3143 (multiplicity 6)

***

Of them, 2 has the lowest stability.

***

--- 1 ---
Ba3YRu2O9 | GGA-PBE | optimized geometry

**Total moment**: 2.99 μB/f.u.

abc: 5.9622 5.9622 14.6060
angles: 90.00 90.00 120.00
Space group P6_3/mmc (No. 194)
Asymmetric unit:
Ba  0.0000  0.0000  0.2500 (multiplicity 2)
Ba  0.3333  0.6667  0.0947 (multiplicity 4)
Y  0.0000  0.0000  0.0000 (multiplicity 2)
Ru  0.3333  0.6667  0.6645 (multiplicity 4)
O  0.0194  0.5097  0.7500 (multiplicity 6)
O  0.1763  0.3525  0.5884 (multiplicity 12)

***

--- 2 ---
Ba3YRu2O9 | GGA-PBE | optimized geometry

**Total moment**: 5.00 μB/f.u.

abc: 5.8891 5.8891 7.2539
angles: 90.00 90.00 120.00
Space group P-3m1 (No. 164)
Asymmetric unit:
Ba  0.0000  0.0000  0.0000 (multiplicity 1)
Ba  0.3333  0.6667  0.6776 (multiplicity 2)
Y  0.0000  0.0000  0.5000 (multiplicity 1)
Ru  0.3333  0.6667  0.1621 (multiplicity 2)
O  0.0000  0.5000  0.0000 (multiplicity 3)
O  0.1764  0.3527  0.3184 (multiplicity 6)

***

Of them, 2 has the lowest stability.

***

--- 1 ---
Ba3ZnRu2O9 | GGA-PBE | optimized geometry

**Total moment**: 5.63 μB/f.u.

abc: 5.7828 5.7828 7.0944
angles: 90.00 90.00 120.00
Space group P-3m1 (No. 164)
Asymmetric unit:
Ba  0.0000  0.0000  0.0000 (multiplicity 1)
Ba  0.3333  0.6667  0.6660 (multiplicity 2)
Zn  0.0000  0.0000  0.5000 (multiplicity 1)
Ru  0.3333  0.6667  0.1715 (multiplicity 2)
O  0.0000  0.5000  0.0000 (multiplicity 3)
O  0.1727  0.3455  0.3242 (multiplicity 6)

***

--- 2 ---
Ba3ZnRu2O9 | GGA-PBE | optimized geometry

**Total moment**: 6.05 μB/f.u.

abc: 5.8602 5.8602 14.4275
angles: 90.00 90.00 120.00
Space group P6_3/mmc (No. 194)
Asymmetric unit:
Ba  0.0000  0.0000  0.2500 (multiplicity 2)
Ba  0.3333  0.6667  0.0900 (multiplicity 4)
Zn  0.0000  0.0000  0.0000 (multiplicity 2)
Ru  0.3333  0.6667  0.6541 (multiplicity 4)
O  0.0315  0.5158  0.7500 (multiplicity 6)
O  0.1710  0.3420  0.5843 (multiplicity 12)

***

Of them, 1 has the lowest stability.

***

--- 1 ---
BaS3O | GGA-PBE | optimized geometry

**Total moment**: 0.00 μB/f.u.

abc: 4.584 4.584 4.584
angles: 90.00 90.00 90.00
Space group Pm-3m (No. 221)
Asymmetric unit:
Ba  0.000  0.000  0.000 (multiplicity 1)
S  0.000  0.500  0.500 (multiplicity 3)
O  0.500  0.500  0.500 (multiplicity 1)

***

--- 2 ---
BaS3O | GGA-PBE | optimized geometry

**Total moment**: 6.00 μB/f.u.

abc: 6.151 6.151 6.151
angles: 90.00 90.00 90.00
Space group Pm-3m (No. 221)
Asymmetric unit:
Ba  0.000  0.000  0.000 (multiplicity 1)
S  0.000  0.000  0.500 (multiplicity 3)
O  0.500  0.500  0.500 (multiplicity 1)

***

Of them, 2 has the lowest stability.

***

--- 1 ---
Ba3Sb2O6 | GGA-PBE | optimized geometry

**Total moment**: 0.00 μB/f.u.

abc: 6.286 9.955 12.341
angles: 104.88 90.40 108.34
Space group P-1 (No. 2)
Asymmetric unit:
Ba  0.000  0.000  0.000 (multiplicity 1)
Ba  0.155  0.279  0.790 (multiplicity 2)
Ba  0.213  0.399  0.203 (multiplicity 2)
Ba  0.387  0.787  0.436 (multiplicity 2)
Ba  0.482  0.961  0.797 (multiplicity 2)
Sb  0.044  0.095  0.375 (multiplicity 2)
Sb  0.237  0.494  0.581 (multiplicity 2)
Sb  0.316  0.667  0.992 (multiplicity 2)
O  0.008  0.566  0.322 (multiplicity 2)
O  0.026  0.115  0.220 (multiplicity 2)
O  0.067  0.750  0.015 (multiplicity 2)
O  0.203  0.948  0.340 (multiplicity 2)
O  0.267  0.044  0.642 (multiplicity 2)
O  0.368  0.709  0.646 (multiplicity 2)
O  0.395  0.669  0.146 (multiplicity 2)
O  0.437  0.157  0.020 (multiplicity 2)
O  0.441  0.424  0.658 (multiplicity 2)

***

--- 2 ---
Ba3Sb2O6 | GGA-PBE | optimized geometry

**Total moment**: 0.00 μB/f.u.

abc: 6.389 6.535 10.574
angles: 90.00 105.07 90.00
Space group C2/m (No. 12)
Asymmetric unit:
Ba  0.000  0.000  0.000 (multiplicity 2)
Ba  0.176  0.000  0.362 (multiplicity 4)
Sb  0.101  0.500  0.189 (multiplicity 4)
O  0.119  0.276  0.810 (multiplicity 8)
O  0.223  0.500  0.385 (multiplicity 4)

***

Of them, 2 has the lowest stability.

***

--- 1 ---
Ba5Sb2O2 | GGA-PBE | optimized geometry

**Total moment**: 0.00 μB/f.u.

abc: 14.561 5.687 8.073
angles: 90.00 107.57 90.00
Space group C2/m (No. 12)
Asymmetric unit:
Ba  0.000  0.000  0.000 (multiplicity 2)
Ba  0.149  0.000  0.567 (multiplicity 4)
Ba  0.165  0.500  0.904 (multiplicity 4)
Sb  0.100  0.500  0.299 (multiplicity 4)
O  0.160  0.000  0.888 (multiplicity 4)

***

--- 2 ---
Ba5Sb2O2 | GGA-PBE | optimized geometry

**Total moment**: 0.00 μB/f.u.

abc: 5.423 5.423 10.618
angles: 90.00 90.00 90.00
Space group P4/mmm (No. 123)
Asymmetric unit:
Ba  0.000  0.000  0.000 (multiplicity 1)
Ba  0.000  0.500  0.283 (multiplicity 4)
Sb  0.500  0.500  0.000 (multiplicity 1)
Sb  0.500  0.500  0.500 (multiplicity 1)
O  0.000  0.000  0.244 (multiplicity 2)

***

Of them, 1 has the lowest stability.

***

--- 1 ---
Ba2ScSbO6 | GGA-PBE | optimized geometry

**Total moment**: 0.00 μB/f.u.

abc: 8.312 8.312 8.312
angles: 90.00 90.00 90.00
Space group Fm-3m (No. 225)
Asymmetric unit:
Ba  0.250  0.250  0.250 (multiplicity 8)
Sc  0.000  0.000  0.000 (multiplicity 4)
Sb  0.000  0.000  0.500 (multiplicity 4)
O  0.000  0.000  0.256 (multiplicity 24)

***

--- 2 ---
Ba2ScSbO6 | GGA-PBE | optimized geometry

**Total moment**: 0.66 μB/f.u.

abc: 9.354 9.354 9.354
angles: 90.00 90.00 90.00
Space group Fm-3m (No. 225)
Asymmetric unit:
Ba  0.250  0.250  0.250 (multiplicity 8)
Sc  0.000  0.000  0.000 (multiplicity 4)
Sb  0.000  0.000  0.500 (multiplicity 4)
O  0.000  0.250  0.250 (multiplicity 24)

***

Of them, 2 has the lowest stability.

***

--- 1 ---
BaYSnSbO6 | GGA-PBE | optimized geometry

**Total moment**: 0.00 μB/f.u.

abc: 8.463 8.463 8.463
angles: 90.00 90.00 90.00
Space group F-43m (No. 216)
Asymmetric unit:
Ba  0.000  0.000  0.000 (multiplicity 4)
Y  0.250  0.250  0.750 (multiplicity 4)
Sn  0.000  0.000  0.500 (multiplicity 4)
Sb  0.250  0.250  0.250 (multiplicity 4)
O  0.013  0.250  0.250 (multiplicity 24)

***

--- 2 ---
BaYSnSbO6 | GGA-PBE | optimized geometry

**Total moment**: 0.00 μB/f.u.

abc: 5.935 5.935 8.526
angles: 90.00 90.00 90.00
Space group P-4n2 (No. 118)
Asymmetric unit:
Ba  0.000  0.500  0.250 (multiplicity 2)
Y  0.000  0.000  0.500 (multiplicity 2)
Sn  0.000  0.500  0.750 (multiplicity 2)
Sb  0.000  0.000  0.000 (multiplicity 2)
O  0.000  0.000  0.237 (multiplicity 4)
O  0.190  0.281  0.989 (multiplicity 8)

***

Of them, 1 has the lowest stability.